K5Rb12Cd2 | PBE | optimized geometry

Formation enthalpy at 0 K in eV/atom: 0.0312
VASP energy in eV per atom: -0.97

a = 26.9420 Å, b = 9.7219 Å, c = 12.3538 Å
α = 90.00°, β = 110.40°, γ = 90.00°
With the nearest neighbours (Å) after each atom.
Space group C2/m (No. 12)
Inequivalent atoms, fractional coordinates:
K1 0.0000 0.0000 0.0000 x2  6 Rb 4.22-4.53
K2 0.2461 0.0000 0.4988 x4  8 Rb 4.73-4.87, 2 K 4.87
K3 0.2460 0.0000 0.9954 x4  8 Rb 4.66-4.75, 2 K 4.87
Rb1 0.0081 0.5000 0.7966 x4  2 Cd 3.88
Rb2 0.0302 0.0000 0.3587 x4  2 Cd 4.03, 1 K 4.22, 1 Rb 4.34
Rb3 0.1420 0.2596 0.6752 x8  1 Cd 3.78
Rb4 0.1475 0.2557 0.1675 x8  5 K 4.53-4.76, 3 Rb 4.75-4.97
Cd1 0.0000 0.3492 0.5000 x4  1 Cd 2.93